(1)
DFT (GGA-PBE) results for crystalline Ca6Al2Sn at its relaxed geometry.

a = 10.082 Å, b = 10.259 Å, c = 11.047 Å
α = 90.00°, β = 90.00°, γ = 90.00°
Space group Immm (No. 71)
Unique sites:
Ca  0.000  0.209  0.173 x8
Ca  0.184  0.228  0.500 x8
Ca  0.202  0.500  0.252 x8
Al  0.000  0.000  0.382 x4
Al  0.143  0.000  0.000 x4
Sn  0.000  0.500  0.000 x2
Sn  0.000  0.500  0.500 x2

Output
Formation enthalpy at 0 K, kJ per mole of atoms: -27.9
Total magnetic moment, μB/f.u.: 0.00

=====

(2)
DFT (GGA-PBE) results for crystalline PrMg4Zn2 at its relaxed geometry.

a = 8.320 Å, b = 8.320 Å, c = 4.531 Å
α = 90.00°, β = 90.00°, γ = 90.00°
Space group P4_2/mnm (No. 136)
Unique sites:
Pr  0.000  0.000  0.000 x2
Mg  0.090  0.338  0.500 x8
Zn  0.219  0.781  0.500 x4

Output
Formation enthalpy at 0 K, kJ per mole of atoms: -15.1
Total magnetic moment, μB/f.u.: 0.00